1.
Crystalline LaNdN2 at its relaxed geometry. Source: the Alexandria database, functional PBEsol.

## Properties
final energy	-8.347	eV/atom
mass density	7.4	g/cm³
magnetic moment	0.000	μB per atom
space-group type	No. 166
ΔE_f (raw)	-1456	meV/atom

Cell lengths 3.659, 3.659, 6.350 Å; angles 73.26, 73.26, 60.00 degrees
Fractional positions:
La1 0.500 0.500 0.500
Nd1 0.000 0.000 0.000
N1 0.252 0.252 0.245
N2 0.748 0.748 0.755

---

2.
Crystalline Sb2RhPb at its relaxed geometry. Source: the Alexandria database, functional PBEsol.

## Properties
final energy	-5.040	eV/atom
mass density	10.2	g/cm³
magnetic moment	0.000	μB per atom
space-group type	No. 47
ΔE_f (raw)	273	meV/atom

Cell lengths 4.322, 4.491, 4.665 Å; angles 90.00, 90.00, 90.00 degrees
Fractional positions:
Pb1 0.500 0.500 0.000
Rh1 0.000 0.500 0.500
Sb1 0.000 0.000 0.000
Sb2 0.500 0.000 0.500

---

3.
Crystalline SrCu2GeC at its relaxed geometry. Source: the Alexandria database, functional PBEsol.

## Properties
final energy	-4.539	eV/atom
mass density	6.2	g/cm³
magnetic moment	0.000	μB per atom
formation energy from the elements	0.48	eV per atom
space-group type	No. 123

Cell lengths 4.029, 4.029, 4.904 Å; angles 90.00, 90.00, 90.00 degrees
Fractional positions:
Sr1 0.500 0.500 0.500
Ge1 0.000 0.000 0.500
C1 0.000 0.000 0.000
Cu1 0.000 0.500 0.000
Cu2 0.500 0.000 0.000

---

4.
Crystalline Fe2Re3 at its relaxed geometry. Source: the Alexandria database, functional PBEsol.

## Properties
final energy	-11.632	eV/atom
mass density	17.5	g/cm³
magnetic moment	0.000	μB per atom
formation energy from the elements	-0.05	eV per atom
space-group type	No. 213

Cell lengths 6.339, 6.339, 6.339 Å; angles 90.00, 90.00, 90.00 degrees
Fractional positions:
Fe1 0.059 0.059 0.059
Fe2 0.441 0.941 0.559
Fe3 0.941 0.559 0.441
Fe4 0.559 0.441 0.941
Fe5 0.809 0.309 0.191
Fe6 0.691 0.691 0.691
Fe7 0.309 0.191 0.809
Fe8 0.191 0.809 0.309
Re1 0.125 0.198 0.448
Re2 0.375 0.802 0.948
Re3 0.875 0.698 0.052
Re4 0.625 0.302 0.552
Re5 0.448 0.125 0.198
Re6 0.948 0.375 0.802
Re7 0.052 0.875 0.698
Re8 0.552 0.625 0.302
Re9 0.198 0.448 0.125
Re10 0.802 0.948 0.375
Re11 0.698 0.052 0.875
Re12 0.302 0.552 0.625

---

5.
Crystalline La2HgRh at its relaxed geometry. Source: the Alexandria database, functional PBEsol.

## Properties
final energy	-5.422	eV/atom
mass density	9.5	g/cm³
magnetic moment	0.000	μB per atom
formation energy from the elements	-0.57	eV per atom
space-group type	No. 10

Cell lengths 3.702, 3.785, 7.273 Å; angles 97.13, 90.00, 90.00 degrees
Fractional positions:
Rh1 0.500 0.500 0.500
Hg1 0.500 0.500 0.000
La1 0.000 0.928 0.721
La2 0.000 0.072 0.279

---

6.
Crystalline BeReHg2 at its relaxed geometry. Source: the Alexandria database, functional PBEsol.

## Properties
final energy	-3.624	eV/atom
mass density	15.3	g/cm³
magnetic moment	0.094	μB per atom
formation energy from the elements	0.99	eV per atom
space-group type	No. 216

Cell lengths 4.502, 4.502, 4.502 Å; angles 60.00, 60.00, 60.00 degrees
Last column: magnetic moment on the atom in μB.
Fractional positions:
Re1 0.750 0.750 0.750  0.34
Hg1 0.000 0.000 0.000  0.00
Hg2 0.250 0.250 0.250  0.00
Be1 0.500 0.500 0.500  -0.01

---

7.
Crystalline Al3GaN4 at its relaxed geometry. Source: the Alexandria database, functional PBEsol.

## Properties
final energy	-7.494	eV/atom
offset from the most stable computed form	14.6	meV per atom
mass density	4.0	g/cm³
magnetic moment	0.000	μB per atom
space-group type	No. 215
ΔE_f (raw)	-1279	meV/atom

Cell lengths 4.406, 4.406, 4.406 Å; angles 90.00, 90.00, 90.00 degrees
Fractional positions:
Al1 0.500 0.500 0.000
Al2 0.500 0.000 0.500
Al3 0.000 0.500 0.500
Ga1 0.000 0.000 0.000
N1 0.745 0.745 0.255
N2 0.745 0.255 0.745
N3 0.255 0.745 0.745
N4 0.255 0.255 0.255

---

8.
Crystalline TaMn4Cr at its relaxed geometry. Source: the Alexandria database, functional PBEsol.

## Properties
final energy	-10.326	eV/atom
mass density	10.6	g/cm³
magnetic moment	0.001	μB per atom
formation energy from the elements	-0.02	eV per atom
space-group type	No. 216

Cell lengths 4.643, 4.643, 4.643 Å; angles 60.00, 60.00, 60.00 degrees
Fractional positions:
Cr1 0.000 0.000 0.000
Mn1 0.625 0.625 0.126
Mn2 0.126 0.625 0.625
Mn3 0.625 0.126 0.625
Mn4 0.625 0.625 0.625
Ta1 0.250 0.250 0.250

---

9.
Crystalline TiAuO3 at its relaxed geometry. Source: the Alexandria database, functional PBEsol.

## Properties
final energy	-5.669	eV/atom
mass density	7.6	g/cm³
magnetic moment	0.295	μB per atom
space-group type	No. 221
ΔE_f (raw)	-70	meV/atom

Cell lengths 3.993, 3.993, 3.993 Å; angles 90.00, 90.00, 90.00 degrees
Last column: magnetic moment on the atom in μB.
Fractional positions:
Au1 0.000 0.000 0.000  -0.01
O1 0.000 0.500 0.000  -0.06
O2 0.000 0.000 0.500  -0.06
O3 0.500 0.000 0.000  -0.06
Ti1 0.500 0.500 0.500  1.48

---

10.
Crystalline Y3Tl5 at its relaxed geometry. Source: the Alexandria database, functional PBEsol.

## Properties
final energy	-4.589	eV/atom
offset from the most stable computed form	27.6	meV per atom
mass density	10.4	g/cm³
magnetic moment	0.000	μB per atom
formation energy from the elements	-0.39	eV per atom
space-group type	No. 65

Cell lengths 4.816, 6.540, 6.540 Å; angles 94.32, 90.00, 90.00 degrees
Fractional positions:
Tl1 0.000 0.000 0.000
Tl2 0.000 0.000 0.500
Tl3 0.000 0.500 0.000
Tl4 0.500 0.272 0.272
Tl5 0.500 0.728 0.728
Y1 0.000 0.500 0.500
Y2 0.500 0.779 0.221
Y3 0.500 0.221 0.779

---

11.
Crystalline MnZnCu2 at its relaxed geometry. Source: the Alexandria database, functional PBEsol.

## Properties
final energy	-4.900	eV/atom
mass density	8.4	g/cm³
magnetic moment	0.823	μB per atom
formation energy from the elements	0.10	eV per atom
space-group type	No. 47

Cell lengths 2.609, 3.517, 5.320 Å; angles 90.00, 90.00, 90.00 degrees
Last column: magnetic moment on the atom in μB.
Fractional positions:
Cu1 0.000 0.000 0.752  0.07
Cu2 0.000 0.000 0.248  0.07
Mn1 0.500 0.500 0.000  3.13
Zn1 0.500 0.500 0.500  -0.03

---

12.
Crystalline ReTe3Br at its relaxed geometry. Source: the Alexandria database, functional PBEsol.

## Properties
final energy	-3.221	eV/atom
mass density	6.8	g/cm³
magnetic moment	0.912	μB per atom
space-group type	No. 221
ΔE_f (raw)	1935	meV/atom

Cell lengths 5.409, 5.409, 5.409 Å; angles 90.00, 90.00, 90.00 degrees
Last column: magnetic moment on the atom in μB.
Fractional positions:
Re1 0.500 0.500 0.500  3.93
Te1 0.000 0.500 0.000  -0.05
Te2 0.000 0.000 0.500  -0.05
Te3 0.500 0.000 0.000  -0.05
Br1 0.000 0.000 0.000  -0.05